1.
Density functional theory data (PBE) for crystalline Na2SmCd4 at its relaxed geometry.

Results
Electronic total energy in eV per atom: -1.768
Magnetic moment in μB/f.u.: 0.000
ρ in g cm⁻³: 5.90
Space group: R-3m (166)

```
Na2SmCd4
1.0
4.936 0.000 1.122
2.341 4.346 1.122
0.625 0.373 8.674
Na Sm Cd
2 1 4
Cartesian
6.528 3.899 5.538 Na
1.373 0.820 5.380 Na
0.000 0.000 0.000 Sm
4.480 2.676 3.127 Cd
5.814 3.472 8.680 Cd
2.087 1.247 2.237 Cd
3.421 2.043 7.790 Cd
```



2.
Density functional theory data (PBE) for crystalline LiSiB at its relaxed geometry.

Results
Formation energy from raw total energies in eV/atom: -0.07
Electronic total energy in eV per atom: -4.740
Magnetic moment in μB/f.u.: 0.000
ρ in g cm⁻³: 2.34
Space group: Pnma (62)

```
LiSiB
1.0
7.139 0.000 0.000
0.000 3.492 0.000
0.000 0.000 5.210
Si B Li
4 4 4
Cartesian
2.514 0.873 0.275 Si
1.056 2.619 2.880 Si
4.625 2.619 4.935 Si
6.083 0.873 2.330 Si
0.973 0.873 1.704 B
2.597 2.619 4.308 B
6.166 2.619 3.506 B
4.542 0.873 0.901 B
6.394 0.873 4.891 Li
4.314 2.619 2.287 Li
0.745 2.619 0.318 Li
2.825 0.873 2.923 Li
```



3.
Density functional theory data (PBE) for crystalline ZrNb2InC at its relaxed geometry.

Results
Electronic total energy in eV per atom: -8.408
Magnetic moment in μB/f.u.: 0.000
ρ in g cm⁻³: 7.64
Space group: P4/mmm (123)

```
ZrNb2InC
1.0
-2.316 -2.227 -2.909
3.776 -0.361 -2.730
1.076 -3.704 1.978
Nb C Zr In
2 1 1 1
Cartesian
0.538 -1.852 0.989 Nb
-1.158 -1.113 -1.455 Nb
0.000 0.000 0.000 C
1.888 -0.181 -1.365 Zr
1.268 -3.146 -1.830 In
```



4.
Density functional theory data (PBE) for crystalline La2Cd5Ag3 at its relaxed geometry.

Results
Electronic total energy in eV per atom: -2.554
Magnetic moment in μB/f.u.: 0.000
ρ in g cm⁻³: 7.96
Space group: Cmc2_1 (36)

```
La2Cd5Ag3
1.0
4.821 0.000 -0.821
0.000 7.423 0.000
-0.165 0.000 13.596
La Cd Ag
4 10 6
Cartesian
2.171 5.729 12.746 La
0.784 5.301 4.602 La
3.873 1.589 8.173 La
2.486 2.017 0.029 La
1.772 3.275 10.401 Cd
1.296 3.692 7.607 Cd
3.361 7.403 5.168 Cd
0.559 1.950 3.282 Cd
1.335 6.607 7.836 Cd
4.424 0.587 11.407 Cd
3.322 2.896 4.938 Cd
4.098 5.661 9.492 Cd
0.233 4.299 1.368 Cd
2.885 6.986 2.373 Cd
3.626 5.097 6.726 Ag
2.891 4.049 2.409 Ag
0.231 7.249 1.357 Ag
1.030 1.385 6.049 Ag
4.426 3.537 11.418 Ag
1.766 0.338 10.366 Ag
```



> ρ of number 2 (LiSiB)?

2.34 g cm⁻³



> electronic total energy of number 1 (Na2SmCd4)?

-1.768 eV per atom



What did the first record say?
Density functional theory data (PBE) for crystalline Na2SmCd4 at its relaxed geometry.

Results
Electronic total energy in eV per atom: -1.768
Magnetic moment in μB/f.u.: 0.000
ρ in g cm⁻³: 5.90
Space group: R-3m (166)

```
Na2SmCd4
1.0
4.936 0.000 1.122
2.341 4.346 1.122
0.625 0.373 8.674
Na Sm Cd
2 1 4
Cartesian
6.528 3.899 5.538 Na
1.373 0.820 5.380 Na
0.000 0.000 0.000 Sm
4.480 2.676 3.127 Cd
5.814 3.472 8.680 Cd
2.087 1.247 2.237 Cd
3.421 2.043 7.790 Cd
```



> Among the records above, which one has the highest ρ?

La2Cd5Ag3